No. 1
# PBE-GGA BaNbCu2Cl, optimized geometry
data_BaNbCu2Cl
_chemical_formula_sum 'Ba1 Nb1 Cu2 Cl1'
_cell_length_a 4.7946
_cell_length_b 6.9243
_cell_length_c 4.7946
_cell_angle_alpha 90.00
_cell_angle_beta 90.00
_cell_angle_gamma 90.00
_symmetry_space_group_name_H-M 'P 1'
_symmetry_Int_Tables_number 1
loop_
_symmetry_equiv_pos_as_xyz
'x,y,z'
loop_
_atom_site_label
_atom_site_fract_x
_atom_site_fract_y
_atom_site_fract_z
Cu1 0.0000 0.0000 0.5000
Cu2 0.5000 0.0000 0.0000
Cl1 0.5000 0.5000 0.5000
Nb1 0.0000 0.0000 0.0000
Ba1 0.0000 0.5000 0.0000
# E_tot in eV per cell: -19.35


No. 2
# PBE-GGA FeNi4Ru, optimized geometry
data_FeNi4Ru
_chemical_formula_sum 'Fe2 Ni8 Ru2'
_cell_length_a 4.4239
_cell_length_b 7.6097
_cell_length_c 6.7030
_cell_angle_alpha 133.84
_cell_angle_beta 96.50
_cell_angle_gamma 106.48
_symmetry_space_group_name_H-M 'P 1'
_symmetry_Int_Tables_number 1
loop_
_symmetry_equiv_pos_as_xyz
'x,y,z'
loop_
_atom_site_label
_atom_site_fract_x
_atom_site_fract_y
_atom_site_fract_z
Fe1 0.0400 0.2844 0.3647
Fe2 0.9600 0.7156 0.6353
Ni1 0.1276 0.8818 0.1274
Ni2 0.4619 0.2082 0.1229
Ni3 0.8724 0.1182 0.8726
Ni4 0.3748 0.6234 0.3874
Ni5 0.2875 0.0355 0.6208
Ni6 0.7125 0.9645 0.3792
Ni7 0.5381 0.7918 0.8771
Ni8 0.6252 0.3766 0.6126
Ru1 0.2102 0.4596 0.8807
Ru2 0.7898 0.5404 0.1193
# ΔE to the lowest computed polymorph in meV/atom: 0
# Energy relative to the elements in kJ/mol of atoms: 3
# E_tot in eV per cell: -81.40


No. 3
# PBE-GGA Rb4PbF6, optimized geometry
data_Rb4PbF6
_chemical_formula_sum 'Rb8 Pb2 F12'
_cell_length_a 7.9667
_cell_length_b 7.9667
_cell_length_c 7.9667
_cell_angle_alpha 90.24
_cell_angle_beta 90.24
_cell_angle_gamma 89.76
_symmetry_space_group_name_H-M 'P 1'
_symmetry_Int_Tables_number 1
loop_
_symmetry_equiv_pos_as_xyz
'x,y,z'
loop_
_atom_site_label
_atom_site_fract_x
_atom_site_fract_y
_atom_site_fract_z
Rb1 0.3949 0.1051 0.2500
Rb2 0.1051 0.7500 0.6051
Rb3 0.7500 0.7500 0.2500
Rb4 0.2500 0.6051 0.1051
Rb5 0.2500 0.2500 0.7500
Rb6 0.7500 0.3949 0.8949
Rb7 0.8949 0.2500 0.3949
Rb8 0.6051 0.8949 0.7500
F1 0.9252 0.7052 0.9453
F2 0.9453 0.0748 0.7052
F3 0.7948 0.5748 0.5547
F4 0.5748 0.4453 0.2052
F5 0.2948 0.9453 0.9252
F6 0.4453 0.7948 0.4252
F7 0.7052 0.0547 0.0748
F8 0.4252 0.5547 0.7948
F9 0.2052 0.4252 0.4453
F10 0.0547 0.9252 0.2948
F11 0.0748 0.2948 0.0547
F12 0.5547 0.2052 0.5748
Pb1 0.0000 0.0000 0.0000
Pb2 0.5000 0.5000 0.5000
# E_tot in eV per cell: -94.45


No. 4
# PBE-GGA In2ReAs, optimized geometry
data_In2ReAs
_chemical_formula_sum 'In2 Re1 As1'
_cell_length_a 3.0657
_cell_length_b 3.0657
_cell_length_c 10.1947
_cell_angle_alpha 90.00
_cell_angle_beta 90.00
_cell_angle_gamma 115.44
_symmetry_space_group_name_H-M 'P 1'
_symmetry_Int_Tables_number 1
loop_
_symmetry_equiv_pos_as_xyz
'x,y,z'
loop_
_atom_site_label
_atom_site_fract_x
_atom_site_fract_y
_atom_site_fract_z
Re1 0.0000 0.0000 0.5169
In1 0.0000 0.0000 0.0037
In2 0.5000 0.5000 0.2851
As1 0.5000 0.5000 0.6943
# Energy relative to the elements in kJ/mol of atoms: 37
# E_tot in eV per cell: -21.02


No. 5
# PBE-GGA Mg6Ni5Rh, optimized geometry
data_Mg6Ni5Rh
_chemical_formula_sum 'Mg6 Ni5 Rh1'
_cell_length_a 4.2981
_cell_length_b 6.1946
_cell_length_c 6.7783
_cell_angle_alpha 90.00
_cell_angle_beta 108.23
_cell_angle_gamma 90.00
_symmetry_space_group_name_H-M 'P 1'
_symmetry_Int_Tables_number 1
loop_
_symmetry_equiv_pos_as_xyz
'x,y,z'
loop_
_atom_site_label
_atom_site_fract_x
_atom_site_fract_y
_atom_site_fract_z
Ni1 0.6665 0.5000 0.3342
Ni2 0.0000 0.5000 0.0000
Ni3 0.6665 0.0000 0.3345
Ni4 0.3335 0.0000 0.6655
Ni5 0.3335 0.5000 0.6658
Mg1 0.5000 0.2521 0.0000
Mg2 0.5000 0.7479 0.0000
Mg3 0.1672 0.2506 0.3356
Mg4 0.8328 0.2506 0.6644
Mg5 0.1672 0.7494 0.3356
Mg6 0.8328 0.7494 0.6644
Rh1 0.0000 0.0000 0.0000
# Energy relative to the elements in kJ/mol of atoms: -21
# E_tot in eV per cell: -48.48


No. 6
# PBE-GGA YTe2F, optimized geometry
data_YTe2F
_chemical_formula_sum 'Y1 Te2 F1'
_cell_length_a 8.1336
_cell_length_b 8.1336
_cell_length_c 8.1336
_cell_angle_alpha 32.59
_cell_angle_beta 32.59
_cell_angle_gamma 32.59
_symmetry_space_group_name_H-M 'P 1'
_symmetry_Int_Tables_number 1
loop_
_symmetry_equiv_pos_as_xyz
'x,y,z'
loop_
_atom_site_label
_atom_site_fract_x
_atom_site_fract_y
_atom_site_fract_z
Y1 0.5000 0.5000 0.5000
Te1 0.0982 0.0982 0.0982
Te2 0.9018 0.9018 0.9018
F1 0.0000 0.0000 0.0000
# ΔE to the lowest computed polymorph in meV/atom: 0
# E_tot in eV per cell: -19.39